No. 1
First-principles (GGA-PBE) data for a relaxed LaAl3H crystal, as listed in Alexandria via LeMat-Bulk.

```
LaAl3H
1.0
4.490 0.000 0.000
0.000 4.490 0.000
0.000 0.000 4.490
La Al H
1 3 1
direct
0.000 0.000 0.000
0.000 0.500 0.500
0.500 0.000 0.500
0.500 0.500 0.000
0.500 0.500 0.500
```

Values from the calculation:
Raw total energy ... -3.99 eV per atom
SG ... Pm-3m (221)


No. 2
First-principles (GGA-PBE) data for a relaxed Ba2Mg12Zn3In crystal, as listed in Alexandria via LeMat-Bulk.

```
Ba2Mg12Zn3In
1.0
4.793 2.767 7.150
-4.793 2.767 7.150
0.000 -5.534 7.150
Ba Mg Zn In
2 12 3 1
direct
0.101 0.101 0.101
0.899 0.899 0.899
0.123 0.621 0.621
0.181 0.181 0.590
0.181 0.590 0.181
0.379 0.379 0.877
0.379 0.877 0.379
0.410 0.819 0.819
0.590 0.181 0.181
0.621 0.123 0.621
0.621 0.621 0.123
0.819 0.410 0.819
0.819 0.819 0.410
0.877 0.379 0.379
0.000 0.500 0.500
0.500 0.000 0.500
0.500 0.500 0.000
0.500 0.500 0.500
```

Values from the calculation:
Formation enthalpy at 0 K ... 225 meV/atom
SG ... R-3m (166)


no.,ρ (g cm⁻³)
1,4.05
2,2.56